An optimized crystal structure of HgMoI2O. Source: Alexandria via LeMat-Bulk, functional GGA+U.

Output
mass density = 6.66 g cm⁻³
symmetry = P4/mmm, No. 123
E above lowest polymorph = 0.0 meV/atom

abc: 6.021 6.021 3.896
angles: 90.00 90.00 90.00
Fractional coordinates of all 5 atoms:
Hg 0.000 0.000 0.000
Mo 0.500 0.500 0.500
I 0.000 0.500 0.500
I 0.500 0.000 0.500
O 0.500 0.500 0.000